No. 1
# Li4V5Cr3O16, PBEsol geometry, DFT SCAN
data_Li4V5Cr3O16
_space_group_name_H-M_alt 'C 1 m 1'
_space_group_IT_number 8
_cell_length_a 9.9240
_cell_length_b 5.7358
_cell_length_c 9.3415
_cell_angle_alpha 90.00
_cell_angle_beta 90.20
_cell_angle_gamma 90.00
loop_
_space_group_symop_operation_xyz
'x,y,z'
'x,-y,z'
'x+1/2,y+1/2,z'
'x+1/2,-y+1/2,z'
loop_
_atom_site_label
_atom_site_type_symbol
_atom_site_fract_x
_atom_site_fract_y
_atom_site_fract_z
Li1 Li 0.0000 0.0000 0.0000
Li2 Li 0.0026 0.0000 0.5001
Li3 Li 0.1704 0.5000 0.6029
Li4 Li 0.3373 0.0000 0.1059
V1 V 0.1686 0.5000 0.0063
V2 V 0.3282 0.5000 0.2806
V3 V 0.3355 0.0000 0.5022
V4 V 0.4146 0.2370 0.7812
Cr1 Cr 0.0880 0.2558 0.2827
Cr2 Cr 0.1709 0.0000 0.7840
O1 O 0.9999 0.0000 0.1889
O2 O 0.0237 0.5000 0.1556
O3 O 0.0822 0.2571 0.8942
O4 O 0.1710 0.0000 0.3962
O5 O 0.1720 0.5000 0.3959
O6 O 0.2430 0.2805 0.1514
O7 O 0.2623 0.2173 0.6540
O8 O 0.3323 0.5000 0.8907
O9 O 0.3347 0.0000 0.8993
O10 O 0.4158 0.2492 0.3928
O11 O 0.4831 0.0000 0.6483
O12 O 0.4982 0.5000 0.6894
# Crystal system: monoclinic
# Energy in hartree per atom: -0.425

No. 2
# Li2VCr2O6, PBEsol geometry, DFT SCAN
data_Li2VCr2O6
_space_group_name_H-M_alt 'C m c e'
_space_group_IT_number 64
_space_group_name_Hall '-C 2ac 2'
_cell_length_a 8.7804
_cell_length_b 4.9659
_cell_length_c 9.9271
_cell_angle_alpha 90.00
_cell_angle_beta 90.00
_cell_angle_gamma 90.00
loop_
_atom_site_label
_atom_site_type_symbol
_atom_site_fract_x
_atom_site_fract_y
_atom_site_fract_z
Li1 Li 0.2500 0.1014 0.2500
V1 V 0.0000 0.0000 0.0000
Cr1 Cr 0.1626 0.0000 0.5000
O1 O 0.0000 0.1767 0.6002
O2 O 0.1721 0.1618 0.8943
# Crystal system: orthorhombic
# Energy in hartree per atom: -0.413

No. 3
# LiVCrO4, PBEsol geometry, DFT SCAN
data_LiVCrO4
_space_group_name_H-M_alt 'I m m a'
_space_group_IT_number 74
_space_group_name_Hall '-I 2b 2'
_cell_length_a 5.6331
_cell_length_b 5.9182
_cell_length_c 7.9083
_cell_angle_alpha 90.00
_cell_angle_beta 90.00
_cell_angle_gamma 90.00
loop_
_atom_site_label
_atom_site_type_symbol
_atom_site_fract_x
_atom_site_fract_y
_atom_site_fract_z
Li1 Li 0.2500 0.2500 0.2500
V1 V 0.2500 0.2500 0.7500
Cr1 Cr 0.0000 0.0000 0.0000
O1 O 0.0000 0.0194 0.7542
O2 O 0.2262 0.2500 0.9911
# Crystal system: orthorhombic
# Energy in hartree per atom: -0.423

No. 4
# Li3VCr4O8, PBEsol geometry, DFT SCAN
data_Li3VCr4O8
_space_group_name_H-M_alt 'C 1 2/m 1'
_space_group_IT_number 12
_cell_length_a 9.9394
_cell_length_b 5.7975
_cell_length_c 5.7792
_cell_angle_alpha 90.00
_cell_angle_beta 123.76
_cell_angle_gamma 90.00
loop_
_space_group_symop_operation_xyz
'x,y,z'
'-x,-y,-z'
'-x,y,-z'
'x,-y,z'
'x+1/2,y+1/2,z'
'-x+1/2,-y+1/2,-z'
'-x+1/2,y+1/2,-z'
'x+1/2,-y+1/2,z'
loop_
_atom_site_label
_atom_site_type_symbol
_atom_site_fract_x
_atom_site_fract_y
_atom_site_fract_z
Li1 Li 0.0000 0.0000 0.0000
Li2 Li 0.2500 0.2500 0.0000
V1 V 0.0000 0.5000 0.5000
Cr1 Cr 0.0000 0.0000 0.5000
Cr2 Cr 0.0000 0.5000 0.0000
Cr3 Cr 0.2500 0.2500 0.5000
O1 O 0.0067 0.2491 0.2555
O2 O 0.2465 0.5000 0.7340
O3 O 0.2500 0.0000 0.7367
# Crystal system: monoclinic
# Energy in hartree per atom: -0.428

No. 5
# Li3V5Cr2O12, PBEsol geometry, DFT SCAN
data_Li3V5Cr2O12
_space_group_name_H-M_alt 'C 1 2 1'
_space_group_IT_number 5
_cell_length_a 4.9454
_cell_length_b 8.5798
_cell_length_c 9.5864
_cell_angle_alpha 90.00
_cell_angle_beta 102.44
_cell_angle_gamma 90.00
loop_
_space_group_symop_operation_xyz
'x,y,z'
'-x,y,-z'
'x+1/2,y+1/2,z'
'-x+1/2,y+1/2,-z'
loop_
_atom_site_label
_atom_site_type_symbol
_atom_site_fract_x
_atom_site_fract_y
_atom_site_fract_z
Li1 Li 0.0000 0.0000 0.0000
Li2 Li 0.2456 0.8318 0.2426
V1 V 0.0000 0.3464 0.0000
V2 V 0.0000 0.4934 0.5000
V3 V 0.0000 0.8582 0.5000
V4 V 0.2492 0.6593 0.7504
Cr1 Cr 0.0000 0.1492 0.5000
Cr2 Cr 0.0000 0.6639 0.0000
O1 O 0.1138 0.1853 0.8838
O2 O 0.1144 0.3192 0.3823
O3 O 0.1156 0.6747 0.3889
O4 O 0.1198 0.0023 0.3671
O5 O 0.1257 0.5082 0.8797
O6 O 0.1292 0.8159 0.8792
# Crystal system: monoclinic
# Energy in hartree per atom: -0.436

No. 6
# Li4V3CrO8, PBEsol geometry, DFT SCAN
data_Li4V3CrO8
_space_group_name_H-M_alt 'C 1 2/m 1'
_space_group_IT_number 12
_cell_length_a 9.9604
_cell_length_b 5.7501
_cell_length_c 5.0959
_cell_angle_alpha 90.00
_cell_angle_beta 109.00
_cell_angle_gamma 90.00
loop_
_space_group_symop_operation_xyz
'x,y,z'
'-x,-y,-z'
'-x,y,-z'
'x,-y,z'
'x+1/2,y+1/2,z'
'-x+1/2,-y+1/2,-z'
'-x+1/2,y+1/2,-z'
'x+1/2,-y+1/2,z'
loop_
_atom_site_label
_atom_site_type_symbol
_atom_site_fract_x
_atom_site_fract_y
_atom_site_fract_z
Li1 Li 0.0000 0.2485 0.0000
Li2 Li 0.2492 0.0000 0.9989
V1 V 0.0000 0.5000 0.5000
V2 V 0.2500 0.2500 0.5000
Cr1 Cr 0.0000 0.0000 0.5000
O1 O 0.1211 0.2476 0.7308
O2 O 0.1268 0.0000 0.2694
O3 O 0.1273 0.5000 0.2626
# Crystal system: monoclinic
# Energy in hartree per atom: -0.393

No. 7
# Li10V5Cr3O16, PBEsol geometry, DFT SCAN
data_Li10V5Cr3O16
_space_group_name_H-M_alt 'C 1 m 1'
_space_group_IT_number 8
_cell_length_a 10.2923
_cell_length_b 5.8127
_cell_length_c 9.6415
_cell_angle_alpha 90.00
_cell_angle_beta 90.57
_cell_angle_gamma 90.00
loop_
_space_group_symop_operation_xyz
'x,y,z'
'x,-y,z'
'x+1/2,y+1/2,z'
'x+1/2,-y+1/2,z'
loop_
_atom_site_label
_atom_site_type_symbol
_atom_site_fract_x
_atom_site_fract_y
_atom_site_fract_z
Li1 Li 0.0000 0.0000 0.0000
Li2 Li 0.0085 0.0000 0.5010
Li3 Li 0.1051 0.2912 0.9265
Li4 Li 0.1740 0.5000 0.7095
Li5 Li 0.2052 0.0000 0.4314
Li6 Li 0.3086 0.5000 0.9312
Li7 Li 0.3350 0.0000 0.2098
Li8 Li 0.4042 0.2133 0.4266
V1 V 0.0855 0.2518 0.1993
V2 V 0.1679 0.5000 0.4555
V3 V 0.1764 0.0000 0.7033
V4 V 0.3337 0.0000 0.9542
Cr1 Cr 0.3329 0.5000 0.1978
Cr2 Cr 0.4230 0.2491 0.6975
O1 O 0.0048 0.0000 0.8093
O2 O 0.0091 0.5000 0.3226
O3 O 0.0899 0.2467 0.5818
O4 O 0.1651 0.0000 0.0740
O5 O 0.1717 0.5000 0.0799
O6 O 0.2493 0.2635 0.3190
O7 O 0.2642 0.2445 0.8178
O8 O 0.3425 0.0000 0.5829
O9 O 0.3435 0.5000 0.5759
O10 O 0.4176 0.2523 0.0789
O11 O 0.4946 0.0000 0.8202
O12 O 0.4960 0.5000 0.3111
# Crystal system: monoclinic
# Energy in hartree per atom: -0.375

No. 8
# Li4V3CrO8, PBEsol geometry, DFT SCAN
data_Li4V3CrO8
_space_group_name_H-M_alt 'P 1 2/m 1'
_space_group_IT_number 10
_cell_length_a 4.8252
_cell_length_b 5.5804
_cell_length_c 5.1686
_cell_angle_alpha 90.00
_cell_angle_beta 107.78
_cell_angle_gamma 90.00
loop_
_space_group_symop_operation_xyz
'x,y,z'
'-x,-y,-z'
'-x,y,-z'
'x,-y,z'
loop_
_atom_site_label
_atom_site_type_symbol
_atom_site_fract_x
_atom_site_fract_y
_atom_site_fract_z
Li1 Li 0.0000 0.0000 0.0000
Li2 Li 0.0000 0.5000 0.0000
Li3 Li 0.5000 0.2430 0.0000
V1 V 0.0000 0.2820 0.5000
V2 V 0.5000 0.5000 0.5000
Cr1 Cr 0.5000 0.0000 0.5000
O1 O 0.2361 0.0000 0.7198
O2 O 0.2526 0.2485 0.2657
O3 O 0.2563 0.5000 0.7602
# Crystal system: monoclinic
# Energy in hartree per atom: -0.391

No. 9
# LiVCrO4, PBEsol geometry, DFT SCAN
data_LiVCrO4
_space_group_name_H-M_alt 'P 1'
_space_group_IT_number 1
_cell_length_a 5.1229
_cell_length_b 5.7432
_cell_length_c 7.5876
_cell_angle_alpha 99.90
_cell_angle_beta 109.33
_cell_angle_gamma 91.71
loop_
_space_group_symop_operation_xyz
'x,y,z'
loop_
_atom_site_label
_atom_site_type_symbol
_atom_site_fract_x
_atom_site_fract_y
_atom_site_fract_z
Li1 Li 0.0000 0.0000 0.0000
Li2 Li 0.3170 0.3506 0.3211
Li3 Li 0.6657 0.6733 0.6654
V1 V 0.1798 0.9414 0.6537
V2 V 0.5121 0.2625 0.9813
V3 V 0.8040 0.0827 0.3402
Cr1 Cr 0.1448 0.4262 0.6675
Cr2 Cr 0.4786 0.7597 0.0021
Cr3 Cr 0.8371 0.5907 0.3224
O1 O 0.1027 0.7224 0.8180
O2 O 0.1166 0.2003 0.8285
O3 O 0.2044 0.1505 0.4941
O4 O 0.2174 0.6373 0.5070
O5 O 0.4324 0.0565 0.1547
O6 O 0.4542 0.5306 0.1553
O7 O 0.5352 0.4807 0.8324
O8 O 0.5595 0.9648 0.8364
O9 O 0.7641 0.3817 0.4853
O10 O 0.7793 0.8702 0.4946
O11 O 0.8653 0.8196 0.1683
O12 O 0.8821 0.2950 0.1675
# Crystal system: triclinic
# Energy in hartree per atom: -0.424

No. 10
# Li4VCrW2O12, PBEsol geometry, DFT SCAN
data_Li4VCrW2O12
_space_group_name_H-M_alt 'P 1'
_space_group_IT_number 1
_cell_length_a 5.0400
_cell_length_b 5.3113
_cell_length_c 7.3126
_cell_angle_alpha 94.26
_cell_angle_beta 90.02
_cell_angle_gamma 90.11
loop_
_space_group_symop_operation_xyz
'x,y,z'
loop_
_atom_site_label
_atom_site_type_symbol
_atom_site_fract_x
_atom_site_fract_y
_atom_site_fract_z
Li1 Li 0.0000 0.0000 0.0000
Li2 Li 0.0029 0.8342 0.5841
Li3 Li 0.4998 0.4750 0.0102
Li4 Li 0.5138 0.3485 0.5812
V1 V 0.5063 0.8796 0.3119
Cr1 Cr 0.0042 0.4242 0.7909
W1 W 0.0157 0.3869 0.2932
W2 W 0.4953 0.9214 0.8098
O1 O 0.1130 0.4128 0.0446
O2 O 0.1949 0.1064 0.7366
O3 O 0.2061 0.7320 0.3519
O4 O 0.3180 0.2269 0.3543
O5 O 0.3204 0.6127 0.7330
O6 O 0.3845 0.9141 0.0489
O7 O 0.6214 0.9261 0.5362
O8 O 0.6922 0.6200 0.2363
O9 O 0.6943 0.2269 0.8445
O10 O 0.8081 0.1111 0.2336
O11 O 0.8119 0.7348 0.8458
O12 O 0.8914 0.4386 0.5374
# Crystal system: triclinic
# Energy in hartree per atom: -0.565

No. 11
# Li4V3Cr3W2O16, PBEsol geometry, DFT SCAN
data_Li4V3Cr3W2O16
_space_group_name_H-M_alt 'C 1 m 1'
_space_group_IT_number 8
_cell_length_a 10.1230
_cell_length_b 5.8134
_cell_length_c 9.5012
_cell_angle_alpha 90.00
_cell_angle_beta 90.14
_cell_angle_gamma 90.00
loop_
_space_group_symop_operation_xyz
'x,y,z'
'x,-y,z'
'x+1/2,y+1/2,z'
'x+1/2,-y+1/2,z'
loop_
_atom_site_label
_atom_site_type_symbol
_atom_site_fract_x
_atom_site_fract_y
_atom_site_fract_z
Li1 Li 0.0000 0.0000 0.0000
Li2 Li 0.0011 0.0000 0.4977
Li3 Li 0.1663 0.5000 0.9031
Li4 Li 0.3324 0.0000 0.4076
V1 V 0.0863 0.2621 0.2193
V2 V 0.1705 0.0000 0.7209
Cr1 Cr 0.3330 0.5000 0.2186
Cr2 Cr 0.4165 0.2459 0.7187
W1 W 0.1681 0.5000 0.4949
W2 W 0.3322 0.0000 0.9925
O1 O 0.0016 0.0000 0.8138
O2 O 0.0041 0.0000 0.3102
O3 O 0.0181 0.5000 0.3544
O4 O 0.0865 0.2520 0.6039
O5 O 0.1695 0.0000 0.1032
O6 O 0.1701 0.5000 0.1072
O7 O 0.2425 0.2812 0.3489
O8 O 0.2617 0.2238 0.8495
O9 O 0.3325 0.0000 0.6124
O10 O 0.3330 0.5000 0.6017
O11 O 0.4170 0.2428 0.1019
O12 O 0.4807 0.0000 0.8477
# Crystal system: monoclinic
# Energy in hartree per atom: -0.557

No. 12
# Li2Cr3WO8, PBEsol geometry, DFT SCAN
data_Li2Cr3WO8
_space_group_name_H-M_alt 'P 63 m c'
_space_group_IT_number 186
_space_group_name_Hall 'P 6c -2c'
_cell_length_a 5.8282
_cell_length_b 5.8282
_cell_length_c 9.3647
_cell_angle_alpha 90.00
_cell_angle_beta 90.00
_cell_angle_gamma 120.00
loop_
_atom_site_label
_atom_site_type_symbol
_atom_site_fract_x
_atom_site_fract_y
_atom_site_fract_z
Li1 Li 0.0000 0.0000 0.0000
Li2 Li 0.3333 0.6667 0.0939
Cr1 Cr 0.1688 0.3377 0.7808
W1 W 0.3333 0.6667 0.5094
O1 O 0.0000 0.0000 0.1866
O2 O 0.0369 0.5184 0.6551
O3 O 0.1692 0.3383 0.4001
O4 O 0.3333 0.6667 0.8872
# Crystal system: hexagonal
# Energy in hartree per atom: -0.559

No. 13
# Li2Cr3WO8, PBEsol geometry, DFT SCAN
data_Li2Cr3WO8
_space_group_name_H-M_alt 'P 43 3 2'
_space_group_IT_number 212
_space_group_name_Hall 'P 4acd 2ab 3'
_cell_length_a 8.2711
_cell_length_b 8.2711
_cell_length_c 8.2711
_cell_angle_alpha 90.00
_cell_angle_beta 90.00
_cell_angle_gamma 90.00
loop_
_atom_site_label
_atom_site_type_symbol
_atom_site_fract_x
_atom_site_fract_y
_atom_site_fract_z
Li1 Li 0.0107 0.4893 0.5107
Cr1 Cr 0.1209 0.6250 0.1291
W1 W 0.1250 0.8750 0.3750
O1 O 0.1051 0.6051 0.8949
O2 O 0.1144 0.3845 0.1210
# Crystal system: cubic
# Energy in hartree per atom: -0.559

no.,uncorrected formation energy (eV/f.u.)
1,-71.88
2,-27.21
3,-17.32
4,-38.11
5,-55.08
6,-40.64
7,-80.75
8,-40.10
9,-17.53
10,-48.12
11,-67.98
12,-33.62
13,-33.50